! Ca3P4Rh13 (PBEsol, relaxed); values from VASP
&SYSTEM
  ibrav = 0, nat = 40, ntyp = 3
/
ATOMIC_SPECIES
Ca 40.08 Ca.upf
P 30.97 P.upf
Rh 102.91 Rh.upf
ATOMIC_POSITIONS angstrom
Ca 0.000 2.132 4.265
Ca 0.000 6.397 4.265
Ca 2.132 4.265 0.000
Ca 4.265 0.000 2.132
Ca 4.265 0.000 6.397
Ca 6.397 4.265 0.000
P 2.132 2.132 2.132
P 2.132 2.132 6.397
P 2.132 6.397 2.132
P 2.132 6.397 6.397
P 6.397 2.132 2.132
P 6.397 2.132 6.397
P 6.397 6.397 2.132
P 6.397 6.397 6.397
Rh 0.000 0.000 0.000
Rh 0.000 2.323 1.340
Rh 0.000 2.323 7.190
Rh 0.000 6.207 1.340
Rh 0.000 6.207 7.190
Rh 1.340 0.000 2.323
Rh 1.340 0.000 6.207
Rh 1.942 4.265 2.925
Rh 1.942 4.265 5.605
Rh 2.323 1.340 0.000
Rh 2.323 7.190 0.000
Rh 2.925 1.942 4.265
Rh 2.925 6.588 4.265
Rh 4.265 2.925 1.942
Rh 4.265 2.925 6.588
Rh 4.265 4.265 4.265
Rh 4.265 5.605 1.942
Rh 4.265 5.605 6.588
Rh 5.605 1.942 4.265
Rh 5.605 6.588 4.265
Rh 6.207 1.340 0.000
Rh 6.207 7.190 0.000
Rh 6.588 4.265 2.925
Rh 6.588 4.265 5.605
Rh 7.190 0.000 2.323
Rh 7.190 0.000 6.207
CELL_PARAMETERS angstrom
8.530 0.000 0.000
0.000 8.530 0.000
0.000 0.000 8.530
! Formation enthalpy at 0 K (meV per atom): -562
! DFT total energy (eV per atom): -7.3300



! SrBeRe2 (PBEsol, relaxed); values from VASP
&SYSTEM
  ibrav = 0, nat = 8, ntyp = 3
/
ATOMIC_SPECIES
Sr 87.62 Sr.upf
Be 9.01 Be.upf
Re 186.21 Re.upf
ATOMIC_POSITIONS angstrom
Sr 0.000 0.000 0.000
Sr 1.307 2.405 5.122
Be 0.000 0.000 5.122
Be 1.307 2.405 0.000
Re 0.000 2.405 2.095
Re 0.000 2.405 8.148
Re 1.307 0.000 3.026
Re 1.307 0.000 7.217
CELL_PARAMETERS angstrom
2.614 0.000 0.000
0.000 4.810 0.000
0.000 0.000 10.243
! Formation enthalpy at 0 K (meV per atom): 707
! DFT total energy (eV per atom): -7.4191



! SrLi3Te (PBEsol, relaxed); values from VASP
&SYSTEM
  ibrav = 0, nat = 5, ntyp = 3
/
ATOMIC_SPECIES
Sr 87.62 Sr.upf
Li 6.94 Li.upf
Te 127.60 Te.upf
ATOMIC_POSITIONS angstrom
Sr 0.000 0.000 0.000
Li 0.000 0.000 2.770
Li 0.000 2.770 0.000
Li 2.770 0.000 0.000
Te 2.770 2.770 2.770
CELL_PARAMETERS angstrom
5.540 0.000 0.000
0.000 5.540 0.000
0.000 0.000 5.540
! DFT total energy (eV per atom): -1.5810
! Formation energy (no corrections) (meV/atom): 672